MgCoW2 | the Alexandria database | PBE-GGA | optimized geometry; electronic total energy = -8.433 eV/atom
1.0
2.741 0.012 0.000
-0.594 2.676 0.000
0.000 0.000 8.280
Co Mg W
1 1 2
direct
0.000 0.000 0.488
0.500 0.500 0.724
0.000 0.000 0.009
0.500 0.500 0.279